# As2RhWBr

A relaxed structure of As2RhWBr (PBE, Alexandria via LeMat-Bulk).

Computed properties:
Volume (Å³ per cell): 119.97
Energy relative to the elements, uncorrected (eV per atom): 1.0169
Crystal system: tetragonal

a b c (Å): 4.839 4.839 5.123
angles (deg): 90.00 90.00 90.00
Sites, in units of the cell vectors:
As 0.000 0.500 0.000
As 0.500 0.000 0.000
Rh 0.000 0.000 0.500
W 0.500 0.500 0.000
Br 0.500 0.500 0.500

=====

# PmSm4Er8

A relaxed structure of PmSm4Er8 (PBE, Alexandria via LeMat-Bulk).

Computed properties:
Volume (Å³ per cell): 467.59
Energy relative to the elements (kJ per mole of atoms): 50.2
Crystal system: cubic

a b c (Å): 7.762 7.762 7.762
angles (deg): 90.00 90.00 90.00
Sites, in units of the cell vectors:
Pm 0.000 0.000 0.000
Sm 0.000 0.000 0.500
Sm 0.000 0.500 0.000
Sm 0.500 0.000 0.000
Sm 0.500 0.500 0.500
Er 0.261 0.261 0.261
Er 0.261 0.261 0.739
Er 0.261 0.739 0.261
Er 0.261 0.739 0.739
Er 0.739 0.261 0.261
Er 0.739 0.261 0.739
Er 0.739 0.739 0.261
Er 0.739 0.739 0.739

=====

# Sm2AlSi3Ni12

A relaxed structure of Sm2AlSi3Ni12 (PBE, Alexandria via LeMat-Bulk).

Computed properties:
Volume (Å³ per cell): 245.57
Energy relative to the elements, uncorrected (eV per atom): -0.1866
Crystal system: trigonal

a b c (Å): 6.291 6.291 6.291
angles (deg): 84.39 84.39 84.39
Sites, in units of the cell vectors:
Sm 0.151 0.151 0.151
Sm 0.849 0.849 0.849
Al 0.500 0.500 0.500
Si 0.000 0.500 0.500
Si 0.500 0.000 0.500
Si 0.500 0.500 0.000
Ni 0.117 0.117 0.594
Ni 0.117 0.594 0.117
Ni 0.208 0.685 0.685
Ni 0.315 0.315 0.792
Ni 0.315 0.792 0.315
Ni 0.406 0.883 0.883
Ni 0.594 0.117 0.117
Ni 0.685 0.208 0.685
Ni 0.685 0.685 0.208
Ni 0.792 0.315 0.315
Ni 0.883 0.406 0.883
Ni 0.883 0.883 0.406

=====

# Tm2ZrSe

A relaxed structure of Tm2ZrSe (PBE, Alexandria via LeMat-Bulk).

Computed properties:
Volume (Å³ per cell): 107.72
Energy relative to the elements, uncorrected (eV per atom): -0.3330
Crystal system: trigonal

a b c (Å): 10.063 10.063 10.063
angles (deg): 20.34 20.34 20.34
Sites, in units of the cell vectors:
Tm 0.103 0.103 0.103
Tm 0.897 0.897 0.897
Zr 0.000 0.000 0.000
Se 0.500 0.500 0.500

=====

# MgBiTe2I

A relaxed structure of MgBiTe2I (PBE, Alexandria via LeMat-Bulk).

Computed properties:
Volume (Å³ per cell): 215.21
Energy relative to the elements, uncorrected (eV per atom): 0.2710
Crystal system: tetragonal

a b c (Å): 5.995 5.995 5.987
angles (deg): 90.00 90.00 90.00
Sites, in units of the cell vectors:
Mg 0.000 0.000 0.000
Bi 0.500 0.500 0.500
Te 0.000 0.500 0.500
Te 0.500 0.000 0.500
I 0.500 0.500 0.000

=====

# ZnPb3Br2F6

A relaxed structure of ZnPb3Br2F6 (PBE, Alexandria via LeMat-Bulk).

Computed properties:
Volume (Å³ per cell): 269.32
Energy relative to the elements, uncorrected (eV per atom): -1.8489
Crystal system: monoclinic

a b c (Å): 7.363 7.363 5.913
angles (deg): 98.33 98.33 58.42
Sites, in units of the cell vectors:
Zn 0.000 0.000 0.000
Pb 0.000 0.500 0.000
Pb 0.500 0.000 0.000
Pb 0.500 0.500 0.500
Br 0.283 0.283 0.614
Br 0.717 0.717 0.386
F 0.146 0.146 0.149
F 0.183 0.694 0.195
F 0.306 0.817 0.805
F 0.694 0.183 0.195
F 0.817 0.306 0.805
F 0.854 0.854 0.851

=====

# CdS2N

A relaxed structure of CdS2N (PBE, Alexandria via LeMat-Bulk).

Computed properties:
Volume (Å³ per cell): 67.48
Energy relative to the elements, uncorrected (eV per atom): 1.1888
Crystal system: trigonal

a b c (Å): 8.845 8.845 8.845
angles (deg): 19.51 19.51 19.51
Sites, in units of the cell vectors:
Cd 0.000 0.000 0.000
S 0.115 0.115 0.115
S 0.885 0.885 0.885
N 0.500 0.500 0.500

=====

# MnTlOs3

A relaxed structure of MnTlOs3 (PBE, Alexandria via LeMat-Bulk).

Computed properties:
Volume (Å³ per cell): 90.48
Energy relative to the elements (kJ per mole of atoms): 163.7
Crystal system: cubic

a b c (Å): 4.489 4.489 4.489
angles (deg): 90.00 90.00 90.00
Sites, in units of the cell vectors:
Mn 0.000 0.000 0.000
Tl 0.500 0.500 0.500
Os 0.000 0.000 0.500
Os 0.000 0.500 0.000
Os 0.500 0.000 0.000

=====

# Nd2Y3HoBi6

A relaxed structure of Nd2Y3HoBi6 (PBE, Alexandria via LeMat-Bulk).

Computed properties:
Volume (Å³ per cell): 392.50
Energy relative to the elements (kJ per mole of atoms): -86.9
Crystal system: monoclinic

a b c (Å): 7.838 7.838 7.828
angles (deg): 99.61 99.61 120.02
Sites, in units of the cell vectors:
Nd 0.166 0.834 0.000
Nd 0.834 0.166 0.000
Y 0.000 0.000 0.500
Y 0.330 0.670 0.500
Y 0.670 0.330 0.500
Ho 0.500 0.500 0.000
Bi 0.088 0.416 0.746
Bi 0.259 0.259 0.257
Bi 0.416 0.088 0.746
Bi 0.584 0.912 0.254
Bi 0.741 0.741 0.743
Bi 0.912 0.584 0.254

=====

# Nd2Sm3Tm4

A relaxed structure of Nd2Sm3Tm4 (PBE, Alexandria via LeMat-Bulk).

Computed properties:
Volume (Å³ per cell): 291.64
Energy relative to the elements (kJ per mole of atoms): 2.2
Crystal system: monoclinic

a b c (Å): 7.999 7.999 8.006
angles (deg): 107.42 107.42 36.87
Sites, in units of the cell vectors:
Nd 0.056 0.056 0.330
Nd 0.944 0.944 0.670
Sm 0.387 0.387 0.334
Sm 0.500 0.500 0.000
Sm 0.613 0.613 0.666
Tm 0.168 0.168 0.999
Tm 0.278 0.278 0.669
Tm 0.722 0.722 0.331
Tm 0.832 0.832 0.001

=====

# AlRhPb2

A relaxed structure of AlRhPb2 (PBE, Alexandria via LeMat-Bulk).

Computed properties:
Volume (Å³ per cell): 87.59
Energy relative to the elements (kJ per mole of atoms): 25.6
Crystal system: tetragonal

a b c (Å): 5.436 5.436 5.436
angles (deg): 131.76 131.76 70.61
Sites, in units of the cell vectors:
Al 0.000 0.000 0.000
Rh 0.750 0.250 0.500
Pb 0.250 0.750 0.500
Pb 0.500 0.500 0.000

=====

# Zr2CdRuPt

A relaxed structure of Zr2CdRuPt (PBE, Alexandria via LeMat-Bulk).

Computed properties:
Volume (Å³ per cell): 119.91
Energy relative to the elements (kJ per mole of atoms): 30.0
Crystal system: tetragonal

a b c (Å): 4.908 4.908 4.979
angles (deg): 90.00 90.00 90.00
Sites, in units of the cell vectors:
Zr 0.000 0.500 0.000
Zr 0.500 0.000 0.000
Cd 0.000 0.000 0.500
Ru 0.500 0.500 0.000
Pt 0.500 0.500 0.500